## YGa3Au3 (GGA-PBE)

Data for crystalline YGa3Au3 at its relaxed geometry.

Summary:
Crystal system: trigonal
E_form, eV per atom: -0.39
Magnetic moment, μB/cell: 0.000
Excess energy over the best structure of this formula in the dataset, eV per formula unit: 0.75
Density of states at the Fermi level, states/eV/cell: 5.3
V, Å³/f.u.: 156

Unit cell a=8.097 b=8.097 c=7.208 alpha=55.83 beta=55.83 gamma=60.00
Fractional coordinates of all 14 atoms:
Ga1 0.779 0.087 0.738
Ga2 0.221 0.913 0.262
Ga3 0.605 0.221 0.262
Ga4 0.913 0.605 0.262
Ga5 0.395 0.779 0.738
Ga6 0.087 0.395 0.738
Au1 0.089 0.745 0.734
Au2 0.745 0.432 0.734
Au3 0.432 0.089 0.734
Au4 0.911 0.255 0.266
Au5 0.255 0.568 0.266
Au6 0.568 0.911 0.266
Y1 0.334 0.334 0.997
Y2 0.666 0.666 0.003